1.
# Ag2Ge3I8

A geometry-optimized Ag2Ge3I8 structure (GGA-PBE, the Alexandria database).

Raw formation energy (eV per atom): -0.28

Unit cell a=9.1302 b=9.1302 c=7.5965 alpha=106.47 beta=106.47 gamma=57.69
Last column: nearest neighbours and their distance in Å.
Fractional positions:
Ag (0.1002, 0.1002, 0.0615)  3 I 2.77, 1 Ag 3.03
Ag (0.8998, 0.8998, 0.9385)  3 I 2.77, 1 Ag 3.03
Ge (0.2525, 0.7475, 0.5000)  6 I 3.04-3.06
Ge (0.5000, 0.5000, 0.0000)  6 I 3.03-3.04
Ge (0.7475, 0.2525, 0.5000)  6 I 3.04-3.06
I (0.1202, 0.1202, 0.7129)  1 Ag 2.77, 2 Ge 3.04
I (0.1503, 0.6119, 0.7412)  1 Ag 2.77, 2 Ge 3.03-3.04
I (0.3861, 0.3861, 0.2526)  3 Ge 3.04-3.06
I (0.3881, 0.8497, 0.2588)  1 Ag 2.77, 2 Ge 3.03-3.04
I (0.6119, 0.1503, 0.7412)  1 Ag 2.77, 2 Ge 3.03-3.04
I (0.6139, 0.6139, 0.7474)  3 Ge 3.04-3.06
I (0.8497, 0.3881, 0.2588)  1 Ag 2.77, 2 Ge 3.03-3.04
I (0.8798, 0.8798, 0.2871)  1 Ag 2.77, 2 Ge 3.04

2.
# Sr3YHg

A geometry-optimized Sr3YHg structure (GGA-PBE, the Alexandria database).

Energy above the most stable polymorph in this dataset (meV/atom): 0

Unit cell a=6.2007 b=6.2007 c=6.2007 alpha=90.00 beta=90.00 gamma=90.00
Last column: nearest neighbours and their distance in Å.
Fractional positions:
Sr (0.0000, 0.0000, 0.5000)  2 Hg 3.10
Sr (0.0000, 0.5000, 0.0000)  2 Hg 3.10
Sr (0.5000, 0.0000, 0.0000)  2 Hg 3.10
Y (0.5000, 0.5000, 0.5000)  12 Sr 4.38
Hg (0.0000, 0.0000, 0.0000)  6 Sr 3.10

3.
# La2Cd3Cu2

A geometry-optimized La2Cd3Cu2 structure (GGA-PBE, the Alexandria database).

Energy (eV/atom): -3.216

Unit cell a=10.2054 b=4.4476 c=7.3348 alpha=90.00 beta=94.48 gamma=90.00
Last column: nearest neighbours and their distance in Å.
Fractional positions:
La (0.1321, 0.0000, 0.3388)  5 Cu 3.00-3.25, 3 Cd 3.35-3.36
La (0.3679, 0.5000, 0.6612)  5 Cu 3.00-3.25, 3 Cd 3.35-3.36
La (0.6321, 0.5000, 0.3388)  5 Cu 3.00-3.25, 3 Cd 3.35-3.36
La (0.8679, 0.0000, 0.6612)  5 Cu 3.00-3.25, 3 Cd 3.35-3.36
Cd (0.0000, 0.5000, 0.0000)  2 Cu 2.77, 4 Cd 3.09
Cd (0.1756, 0.0000, 0.8579)  2 Cu 2.87, 2 Cd 3.09
Cd (0.3244, 0.5000, 0.1421)  2 Cu 2.87, 2 Cd 3.09
Cd (0.5000, 0.0000, 0.0000)  2 Cu 2.77, 4 Cd 3.09
Cd (0.6756, 0.5000, 0.8579)  2 Cu 2.87, 2 Cd 3.09
Cd (0.8244, 0.0000, 0.1421)  2 Cu 2.87, 2 Cd 3.09
Cu (0.0728, 0.5000, 0.6439)  1 Cu 2.48, 1 Cd 2.77
Cu (0.4272, 0.0000, 0.3561)  1 Cu 2.48, 1 Cd 2.77
Cu (0.5728, 0.0000, 0.6439)  1 Cu 2.48, 1 Cd 2.77
Cu (0.9272, 0.5000, 0.3561)  1 Cu 2.48, 1 Cd 2.77

4.
# PrHfNpO6

A geometry-optimized PrHfNpO6 structure (GGA-PBE, the Alexandria database).

Raw formation energy (eV per atom): -3.23

Unit cell a=5.6454 b=5.6454 c=10.0036 alpha=90.00 beta=90.00 gamma=120.00
Last column: nearest neighbours and their distance in Å.
Fractional positions:
Pr (0.0000, 0.0000, 0.0000)  6 O 2.46
Pr (0.0000, 0.0000, 0.5000)  6 O 2.46
Hf (0.3333, 0.6667, 0.2500)  6 O 2.10
Hf (0.6667, 0.3333, 0.7500)  6 O 2.10
Np (0.3333, 0.6667, 0.7500)  6 O 2.15
Np (0.6667, 0.3333, 0.2500)  6 O 2.15
O (0.0068, 0.3613, 0.1399)  1 Hf 2.10, 1 Np 2.15
O (0.0068, 0.6455, 0.3601)  1 Hf 2.10, 1 Np 2.15
O (0.3545, 0.3613, 0.3601)  1 Hf 2.10, 1 Np 2.15
O (0.3545, 0.9932, 0.1399)  1 Hf 2.10, 1 Np 2.15
O (0.3613, 0.0068, 0.6399)  1 Hf 2.10, 1 Np 2.15
O (0.3613, 0.3545, 0.8601)  1 Hf 2.10, 1 Np 2.15
O (0.6387, 0.6455, 0.1399)  1 Hf 2.10, 1 Np 2.15
O (0.6387, 0.9932, 0.3601)  1 Hf 2.10, 1 Np 2.15
O (0.6455, 0.0068, 0.8601)  1 Hf 2.10, 1 Np 2.15
O (0.6455, 0.6387, 0.6399)  1 Hf 2.10, 1 Np 2.15
O (0.9932, 0.3545, 0.6399)  1 Hf 2.10, 1 Np 2.15
O (0.9932, 0.6387, 0.8601)  1 Hf 2.10, 1 Np 2.15

5.
# Tm4Th2Sc3

A geometry-optimized Tm4Th2Sc3 structure (GGA-PBE, the Alexandria database).

Energy above the most stable polymorph in this dataset (meV/atom): 0

Unit cell a=7.6569 b=7.6569 c=7.7445 alpha=107.49 beta=107.49 gamma=36.92
Last column: nearest neighbours and their distance in Å.
Fractional positions:
Tm (0.0538, 0.0538, 0.3357)  4 Tm 3.38-3.46, 6 Sc 3.39-3.49, 2 Th 3.41-3.46
Tm (0.2773, 0.2773, 0.6697)  3 Th 3.43-3.45, 4 Sc 3.43-3.55, 5 Tm 3.45-3.48
Tm (0.7227, 0.7227, 0.3303)  3 Th 3.43-3.45, 4 Sc 3.43-3.55, 5 Tm 3.45-3.48
Tm (0.9462, 0.9462, 0.6643)  4 Tm 3.38-3.46, 6 Sc 3.39-3.49, 2 Th 3.41-3.46
Th (0.1648, 0.1648, 0.0004)  5 Sc 3.39-3.42, 5 Tm 3.41-3.46, 2 Th 3.47
Th (0.8352, 0.8352, 0.9996)  5 Sc 3.39-3.42, 5 Tm 3.41-3.46, 2 Th 3.47
Sc (0.3891, 0.3891, 0.3229)  2 Sc 3.38-3.51, 7 Tm 3.39-3.55, 3 Th 3.39-3.42
Sc (0.5000, 0.5000, 0.0000)  2 Sc 3.38, 4 Th 3.41, 6 Tm 3.43-3.46
Sc (0.6109, 0.6109, 0.6771)  2 Sc 3.38-3.51, 7 Tm 3.39-3.55, 3 Th 3.39-3.42

6.
# Dy6Er8Sc

A geometry-optimized Dy6Er8Sc structure (GGA-PBE, the Alexandria database).

Energy above the most stable polymorph in this dataset (meV/atom): 0

Unit cell a=8.5106 b=8.5106 c=8.5106 alpha=63.33 beta=63.33 gamma=63.33
Last column: nearest neighbours and their distance in Å.
Fractional positions:
Dy (0.0442, 0.6143, 0.7179)  4 Er 3.34-3.63, 1 Sc 3.35, 4 Dy 3.47-3.65
Dy (0.2821, 0.9558, 0.3857)  4 Er 3.34-3.63, 1 Sc 3.35, 4 Dy 3.47-3.65
Dy (0.3857, 0.2821, 0.9558)  4 Er 3.34-3.63, 1 Sc 3.35, 4 Dy 3.47-3.65
Dy (0.6143, 0.7179, 0.0442)  4 Er 3.34-3.63, 1 Sc 3.35, 4 Dy 3.47-3.65
Dy (0.7179, 0.0442, 0.6143)  4 Er 3.34-3.63, 1 Sc 3.35, 4 Dy 3.47-3.65
Dy (0.9558, 0.3857, 0.2821)  4 Er 3.34-3.63, 1 Sc 3.35, 4 Dy 3.47-3.65
Er (0.0765, 0.0765, 0.0765)  4 Er 3.11-3.38, 3 Dy 3.34
Er (0.2224, 0.6093, 0.2443)  3 Dy 3.34-3.63, 5 Er 3.36-3.38, 1 Sc 3.47
Er (0.2443, 0.2224, 0.6093)  3 Dy 3.34-3.63, 5 Er 3.36-3.38, 1 Sc 3.47
Er (0.3907, 0.7557, 0.7776)  3 Dy 3.34-3.63, 5 Er 3.36-3.38, 1 Sc 3.47
Er (0.6093, 0.2443, 0.2224)  3 Dy 3.34-3.63, 5 Er 3.36-3.38, 1 Sc 3.47
Er (0.7557, 0.7776, 0.3907)  3 Dy 3.34-3.63, 5 Er 3.36-3.38, 1 Sc 3.47
Er (0.7776, 0.3907, 0.7557)  3 Dy 3.34-3.63, 5 Er 3.36-3.38, 1 Sc 3.47
Er (0.9235, 0.9235, 0.9235)  4 Er 3.11-3.38, 3 Dy 3.34
Sc (0.5000, 0.5000, 0.5000)  6 Dy 3.35, 6 Er 3.47

7.
# LaSmYHo3

A geometry-optimized LaSmYHo3 structure (GGA-PBE, the Alexandria database).

Energy (eV/atom): -4.771

Unit cell a=10.2471 b=10.2471 c=7.1187 alpha=90.46 beta=90.46 gamma=32.12
Last column: nearest neighbours and their distance in Å.
Fractional positions:
La (0.1449, 0.1449, 0.0310)  1 Y 3.03, 2 Ho 3.17-3.30
La (0.8551, 0.8551, 0.9690)  1 Y 3.03, 2 Ho 3.17-3.30
Sm (0.4484, 0.4484, 0.7333)  3 Ho 3.19-3.33
Sm (0.5516, 0.5516, 0.2667)  3 Ho 3.19-3.33
Y (0.1504, 0.1504, 0.4572)  1 La 3.03, 2 Ho 3.21-3.31
Y (0.8496, 0.8496, 0.5428)  1 La 3.03, 2 Ho 3.21-3.31
Ho (0.0231, 0.0231, 0.7362)  1 La 3.17, 2 Sm 3.19, 1 Y 3.21, 1 Ho 3.48
Ho (0.2796, 0.2796, 0.7587)  3 La 3.30-3.53, 3 Y 3.31-3.51, 1 Sm 3.33, 3 Ho 3.64-3.66
Ho (0.3363, 0.3363, 0.2703)  2 Y 3.44, 2 La 3.58, 4 Ho 3.64-3.80
Ho (0.6637, 0.6637, 0.7297)  2 Y 3.44, 2 La 3.58, 4 Ho 3.64-3.80
Ho (0.7204, 0.7204, 0.2413)  3 La 3.30-3.53, 3 Y 3.31-3.51, 1 Sm 3.33, 3 Ho 3.64-3.66
Ho (0.9769, 0.9769, 0.2638)  1 La 3.17, 2 Sm 3.19, 1 Y 3.21, 1 Ho 3.48

8.
# PrNdLuZr

A geometry-optimized PrNdLuZr structure (GGA-PBE, the Alexandria database).

Energy (eV/atom): -5.403

Unit cell a=7.8702 b=7.8702 c=7.8702 alpha=90.00 beta=90.00 gamma=90.00
Last column: nearest neighbours and their distance in Å.
Fractional positions:
Pr (0.0000, 0.0000, 0.0000)  4 Lu 3.41, 4 Nd 3.41
Pr (0.0000, 0.5000, 0.5000)  4 Lu 3.41, 4 Nd 3.41
Pr (0.5000, 0.0000, 0.5000)  4 Lu 3.41, 4 Nd 3.41
Pr (0.5000, 0.5000, 0.0000)  4 Lu 3.41, 4 Nd 3.41
Nd (0.2500, 0.2500, 0.7500)  4 Zr 3.41, 4 Pr 3.41
Nd (0.2500, 0.7500, 0.2500)  4 Zr 3.41, 4 Pr 3.41
Nd (0.7500, 0.2500, 0.2500)  4 Zr 3.41, 4 Pr 3.41
Nd (0.7500, 0.7500, 0.7500)  4 Zr 3.41, 4 Pr 3.41
Lu (0.2500, 0.2500, 0.2500)  4 Zr 3.41, 4 Pr 3.41
Lu (0.2500, 0.7500, 0.7500)  4 Zr 3.41, 4 Pr 3.41
Lu (0.7500, 0.2500, 0.7500)  4 Zr 3.41, 4 Pr 3.41
Lu (0.7500, 0.7500, 0.2500)  4 Zr 3.41, 4 Pr 3.41
Zr (0.0000, 0.0000, 0.5000)  4 Nd 3.41, 4 Lu 3.41
Zr (0.0000, 0.5000, 0.0000)  4 Nd 3.41, 4 Lu 3.41
Zr (0.5000, 0.0000, 0.0000)  4 Nd 3.41, 4 Lu 3.41
Zr (0.5000, 0.5000, 0.5000)  4 Nd 3.41, 4 Lu 3.41

9.
# Na3PuF6

A geometry-optimized Na3PuF6 structure (GGA-PBE, the Alexandria database).

Energy above the most stable polymorph in this dataset (meV/atom): 20
Raw formation energy (eV per atom): -3.04

Unit cell a=5.7073 b=5.7073 c=11.7362 alpha=90.00 beta=90.00 gamma=120.00
Last column: nearest neighbours and their distance in Å.
Fractional positions:
Na (0.0000, 0.0000, 0.0000)  6 F 2.39
Na (0.0000, 0.0000, 0.5000)  6 F 2.39
Na (0.3333, 0.6667, 0.0406)  6 F 2.26-2.50
Na (0.3333, 0.6667, 0.4594)  6 F 2.26-2.50
Na (0.6667, 0.3333, 0.5406)  6 F 2.26-2.50
Na (0.6667, 0.3333, 0.9594)  6 F 2.26-2.50
Pu (0.3333, 0.6667, 0.7500)  6 F 2.30
Pu (0.6667, 0.3333, 0.2500)  6 F 2.30
F (0.0453, 0.3634, 0.6164)  3 Na 2.26-2.50, 1 Pu 2.30
F (0.0453, 0.6818, 0.8836)  3 Na 2.26-2.50, 1 Pu 2.30
F (0.3182, 0.3634, 0.8836)  3 Na 2.26-2.50, 1 Pu 2.30
F (0.3182, 0.9547, 0.6164)  3 Na 2.26-2.50, 1 Pu 2.30
F (0.3634, 0.0453, 0.3836)  3 Na 2.26-2.50, 1 Pu 2.30
F (0.3634, 0.3182, 0.1164)  3 Na 2.26-2.50, 1 Pu 2.30
F (0.6366, 0.6818, 0.6164)  3 Na 2.26-2.50, 1 Pu 2.30
F (0.6366, 0.9547, 0.8836)  3 Na 2.26-2.50, 1 Pu 2.30
F (0.6818, 0.0453, 0.1164)  3 Na 2.26-2.50, 1 Pu 2.30
F (0.6818, 0.6366, 0.3836)  3 Na 2.26-2.50, 1 Pu 2.30
F (0.9547, 0.3182, 0.3836)  3 Na 2.26-2.50, 1 Pu 2.30
F (0.9547, 0.6366, 0.1164)  3 Na 2.26-2.50, 1 Pu 2.30

10.
# LaCuNi2

A geometry-optimized LaCuNi2 structure (GGA-PBE, the Alexandria database).

Energy (eV/atom): -5.202

Unit cell a=3.9499 b=4.0440 c=4.7963 alpha=90.00 beta=91.22 gamma=90.00
Last column: nearest neighbours and their distance in Å.
Fractional positions:
La (0.0000, 0.0000, 0.0000)  8 Ni 3.01-3.10, 4 Cu 3.07-3.14
Cu (0.5000, 0.0000, 0.5000)  4 Ni 2.37
Ni (0.4772, 0.5000, 0.7578)  2 Ni 2.33-2.48, 2 Cu 2.37
Ni (0.5228, 0.5000, 0.2422)  2 Ni 2.33-2.48, 2 Cu 2.37

11.
# KLa2Pt2

A geometry-optimized KLa2Pt2 structure (GGA-PBE, the Alexandria database).

Energy (eV/atom): -5.137

Unit cell a=5.4292 b=5.4292 c=12.3114 alpha=90.00 beta=90.00 gamma=90.00
Last column: nearest neighbours and their distance in Å.
Fractional positions:
K (0.0000, 0.0000, 0.0000)  10 La 4.02-4.39, 8 Pt 4.10
K (0.5000, 0.5000, 0.5000)  10 La 4.02-4.39, 8 Pt 4.10
La (0.0000, 0.0000, 0.3262)  4 Pt 2.87
La (0.0000, 0.0000, 0.6738)  4 Pt 2.87
La (0.5000, 0.5000, 0.1738)  4 Pt 2.87
La (0.5000, 0.5000, 0.8262)  4 Pt 2.87
Pt (0.0000, 0.5000, 0.2500)  4 La 2.87
Pt (0.0000, 0.5000, 0.7500)  4 La 2.87
Pt (0.5000, 0.0000, 0.2500)  4 La 2.87
Pt (0.5000, 0.0000, 0.7500)  4 La 2.87

12.
# K3Pu2TiS6

A geometry-optimized K3Pu2TiS6 structure (GGA-PBE, the Alexandria database).

Raw formation energy (eV per atom): -1.49

Unit cell a=6.8488 b=6.8488 c=7.6911 alpha=98.56 beta=98.56 gamma=120.01
Last column: nearest neighbours and their distance in Å.
Fractional positions:
K (0.0000, 0.0000, 0.0000)  6 S 3.14-3.30
K (0.3311, 0.6689, 0.0000)  6 S 3.15-3.28
K (0.6689, 0.3311, 0.0000)  6 S 3.15-3.28
Pu (0.1665, 0.8335, 0.5000)  6 S 2.76-2.77
Pu (0.8335, 0.1665, 0.5000)  6 S 2.76-2.77
Ti (0.5000, 0.5000, 0.5000)  6 S 2.57
S (0.1229, 0.4346, 0.3040)  1 Ti 2.57, 2 Pu 2.77
S (0.2540, 0.2540, 0.6961)  1 Ti 2.57, 2 Pu 2.76
S (0.4346, 0.1229, 0.3040)  1 Ti 2.57, 2 Pu 2.77
S (0.5654, 0.8771, 0.6960)  1 Ti 2.57, 2 Pu 2.77
S (0.7460, 0.7460, 0.3039)  1 Ti 2.57, 2 Pu 2.76
S (0.8771, 0.5654, 0.6960)  1 Ti 2.57, 2 Pu 2.77

For the records above, the corresponding total moment values read 0.0, 1.1, 0.0, 2.0, 0.0, 0.0, 0.0, 1.6, 5.0, 0.0, 0.8, 11.0 μB/f.u..